1.
Density functional theory data (PBE-GGA) for a relaxed NiHg2Ru crystal.

Lattice parameters (Å, degrees): 8.9903 8.9903 8.9903 19.05 19.05 19.05
With the nearest neighbours (Å) after each atom.
Fractional positions:
Hg (0.9959, 0.9959, 0.9959)  3 Ni 2.71, 3 Ru 2.88, 6 Hg 2.98
Hg (0.5041, 0.5041, 0.5041)  3 Ni 2.71, 3 Ru 2.88, 6 Hg 2.98
Ni (0.2500, 0.2500, 0.2500)  6 Hg 2.71, 6 Ni 2.98
Ru (0.7500, 0.7500, 0.7500)  6 Hg 2.88, 6 Ru 2.98

Output
Polymorph energy (0 for the lowest one) ... 142 meV per atom
Total magnetization ... 0.22 μB per atom
Energy of formation from the pure elements ... 0.50 eV/atom
Space-group type ... R-3m (166)

---

2.
Density functional theory data (PBE-GGA) for a relaxed NiHg2Ru crystal.

Lattice parameters (Å, degrees): 4.9933 4.9933 4.9933 131.92 131.92 70.35
With the nearest neighbours (Å) after each atom.
Fractional positions:
Hg (0.0000, 0.0000, 0.0000)  4 Ni 2.88, 4 Hg 2.88, 4 Ru 2.88
Hg (0.2500, 0.7500, 0.5000)  4 Ru 2.88, 4 Hg 2.88, 4 Ni 2.88
Ni (0.5000, 0.5000, 0.0000)  8 Hg 2.88, 4 Ru 2.88
Ru (0.7500, 0.2500, 0.5000)  8 Hg 2.88, 4 Ni 2.88

Output
Polymorph energy (0 for the lowest one) ... 189 meV per atom
Total magnetization ... 0.40 μB per atom
Energy of formation from the pure elements ... 0.55 eV/atom
Space-group type ... I-4m2 (119)

---

3.
Density functional theory data (PBE-GGA) for a relaxed NiHgRu2 crystal.

Lattice parameters (Å, degrees): 9.0437 9.0437 9.0437 17.82 17.82 17.82
With the nearest neighbours (Å) after each atom.
Fractional positions:
Hg (0.4968, 0.4968, 0.4968)  6 Hg 2.80, 3 Ni 2.81, 3 Ru 3.00
Ni (0.7443, 0.7443, 0.7443)  3 Ru 2.61, 6 Ni 2.80, 3 Hg 2.81
Ru (0.0006, 0.0006, 0.0006)  9 Ru 2.59-2.80, 3 Ni 2.61
Ru (0.2583, 0.2583, 0.2583)  9 Ru 2.59-2.80

Output
Total magnetization ... 0.00 μB per atom
Energy of formation from the pure elements ... 0.36 eV/atom
Space-group type ... R3m (160)

---

4.
Density functional theory data (PBE-GGA) for a relaxed NiHgRu2 crystal.

Lattice parameters (Å, degrees): 2.8045 2.8045 7.6096 90.00 90.00 90.00
With the nearest neighbours (Å) after each atom.
Fractional positions:
Hg (0.0000, 0.0000, 0.5112)  4 Hg 2.80, 4 Ni 2.80, 4 Ru 2.98
Ni (0.5000, 0.5000, 0.7719)  4 Ru 2.63, 4 Ni 2.80, 4 Hg 2.80
Ru (0.0000, 0.0000, 0.9980)  8 Ru 2.60-2.80, 4 Ni 2.63
Ru (0.5000, 0.5000, 0.2189)  8 Ru 2.60-2.80

Output
Total magnetization ... 0.00 μB per atom
Energy of formation from the pure elements ... 0.27 eV/atom
Space-group type ... P4mm (99)

---

5.
Density functional theory data (PBE-GGA) for a relaxed Ni2HgRu crystal.

Lattice parameters (Å, degrees): 3.9829 3.9834 3.5912 90.00 90.00 90.00
With the nearest neighbours (Å) after each atom.
Fractional positions:
Hg (0.0000, 0.5000, 0.5000)  8 Ni 2.68, 4 Ru 2.82
Ni (0.0000, 0.0000, 0.0000)  4 Ru 2.68, 4 Hg 2.68, 4 Ni 2.82
Ni (0.5000, 0.5000, 0.0000)  4 Hg 2.68, 4 Ru 2.68, 4 Ni 2.82
Ru (0.5000, 0.0000, 0.5000)  8 Ni 2.68, 4 Hg 2.82

Output
Total magnetization ... 0.61 μB per atom
Energy of formation from the pure elements ... 0.43 eV/atom
Space-group type ... P4/mmm (123)

---

6.
Density functional theory data (PBE-GGA) for a relaxed NiHgRu3 crystal.

Lattice parameters (Å, degrees): 4.9457 4.9457 4.9457 90.00 90.00 90.00
With the nearest neighbours (Å) after each atom.
Fractional positions:
Ru (0.0000, 0.5000, 0.0000)  2 Hg 2.47
Ru (0.0000, 0.0000, 0.5000)  2 Hg 2.47
Ru (0.5000, 0.0000, 0.0000)  2 Hg 2.47
Hg (0.0000, 0.0000, 0.0000)  6 Ru 2.47
Ni (0.5000, 0.5000, 0.5000)  12 Ru 3.50

Output
Polymorph energy (0 for the lowest one) ... 1295 meV per atom
Total magnetization ... 1.46 μB per atom
Energy of formation from the pure elements ... 2.67 eV/atom
Space-group type ... Pm-3m (221)

---

7.
Density functional theory data (PBE-GGA) for a relaxed Ni2HgRu crystal.

Lattice parameters (Å, degrees): 8.7306 8.7306 8.7306 18.35 18.35 18.35
With the nearest neighbours (Å) after each atom.
Fractional positions:
Hg (0.7500, 0.7500, 0.7500)  6 Hg 2.78, 6 Ni 2.81
Ni (0.9936, 0.9936, 0.9936)  3 Ru 2.55, 6 Ni 2.78, 3 Hg 2.81
Ni (0.5064, 0.5064, 0.5064)  3 Ru 2.55, 6 Ni 2.78, 3 Hg 2.81
Ru (0.2500, 0.2500, 0.2500)  6 Ni 2.55, 6 Ru 2.78

Output
Total magnetization ... 0.00 μB per atom
Energy of formation from the pure elements ... 0.36 eV/atom
Space-group type ... R-3m (166)

---

8.
Density functional theory data (PBE-GGA) for a relaxed NiHgRu2 crystal.

Lattice parameters (Å, degrees): 3.7056 2.8032 6.4278 64.19 90.00 90.00
With the nearest neighbours (Å) after each atom.
Fractional positions:
Hg (0.0000, 0.4852, 0.5150)  4 Ni 2.76, 2 Hg 2.80, 6 Ru 2.85-2.94
Ni (0.5000, 0.7283, 0.7715)  5 Ru 2.51-2.69, 4 Hg 2.76, 2 Ni 2.80
Ru (0.0000, 0.9927, 0.0074)  6 Ru 2.59-2.80, 4 Ni 2.69, 1 Hg 2.85
Ru (0.5000, 0.2938, 0.2061)  1 Ni 2.51, 6 Ru 2.59-2.80

Output
Total magnetization ... 0.00 μB per atom
Energy of formation from the pure elements ... 0.31 eV/atom
Space-group type ... Pmm2 (25)

---

9.
Density functional theory data (PBE-GGA) for a relaxed NiHgRu3 crystal.

Lattice parameters (Å, degrees): 4.5083 4.5083 4.5083 90.00 90.00 90.00
With the nearest neighbours (Å) after each atom.
Fractional positions:
Ru (0.0000, 0.5000, 0.0000)  2 Ni 2.25
Ru (0.0000, 0.0000, 0.5000)  2 Ni 2.25
Ru (0.5000, 0.0000, 0.0000)  2 Ni 2.25
Hg (0.5000, 0.5000, 0.5000)  12 Ru 3.19
Ni (0.0000, 0.0000, 0.0000)  6 Ru 2.25

Output
Polymorph energy (0 for the lowest one) ... 0 meV per atom
Total magnetization ... 1.18 μB per atom
Energy of formation from the pure elements ... 1.37 eV/atom
Space-group type ... Pm-3m (221)

---

10.
Density functional theory data (PBE-GGA) for a relaxed NiHg2Ru crystal.

Lattice parameters (Å, degrees): 4.5144 4.5144 3.2753 90.00 90.00 89.92
With the nearest neighbours (Å) after each atom.
Fractional positions:
Hg (0.0000, 0.0000, 0.0000)  4 Ni 2.79, 4 Ru 2.79
Hg (0.5000, 0.5000, 0.0000)  4 Ru 2.79, 4 Ni 2.79
Ni (0.5000, 0.0000, 0.5000)  8 Hg 2.79
Ru (0.0000, 0.5000, 0.5000)  8 Hg 2.79

Output
Polymorph energy (0 for the lowest one) ... 110 meV per atom
Total magnetization ... 0.13 μB per atom
Energy of formation from the pure elements ... 0.47 eV/atom
Space-group type ... Cmmm (65)

---

11.
Density functional theory data (PBE-GGA) for a relaxed NiHgRu2 crystal.

Lattice parameters (Å, degrees): 4.4112 4.4112 4.4112 60.00 60.00 60.00
With the nearest neighbours (Å) after each atom.
Fractional positions:
Hg (0.5000, 0.5000, 0.5000)  4 Ni 2.70, 4 Ru 2.70
Ni (0.7500, 0.7500, 0.7500)  4 Hg 2.70, 4 Ru 2.70
Ru (0.0000, 0.0000, 0.0000)  4 Ru 2.70, 4 Ni 2.70
Ru (0.2500, 0.2500, 0.2500)  4 Ru 2.70, 4 Hg 2.70

Output
Total magnetization ... 0.46 μB per atom
Energy of formation from the pure elements ... 0.60 eV/atom
Space-group type ... F-43m (216)

---

12.
Density functional theory data (PBE-GGA) for a relaxed Ni2HgRu crystal.

Lattice parameters (Å, degrees): 4.6512 4.6512 4.7503 79.13 79.13 34.26
With the nearest neighbours (Å) after each atom.
Fractional positions:
Hg (0.2531, 0.2531, 0.2282)  7 Ni 2.64-2.76, 2 Hg 2.74, 3 Ru 2.83-2.89
Ni (0.0101, 0.0101, 0.9859)  2 Ru 2.51, 4 Ni 2.61-2.74, 3 Hg 2.64-2.72
Ni (0.7481, 0.7481, 0.7335)  3 Ru 2.54-2.62, 5 Ni 2.61-2.82, 4 Hg 2.73-2.76
Ru (0.4887, 0.4887, 0.5523)  5 Ni 2.51-2.62, 2 Ru 2.74

Output
Total magnetization ... 0.00 μB per atom
Energy of formation from the pure elements ... 0.34 eV/atom
Space-group type ... Cm (8)